First-principles (PBE+U) data for a relaxed VCuAsO6 crystal, as listed in Alexandria via LeMat-Bulk.

Computed properties:
Calculated volume   186.9 Å³/cell
Energy   -6.29 eV per atom
Size of the total moment   1.0 μB per formula unit

Lattice parameters (Å, degrees): 4.921 4.921 8.912 90.00 90.00 120.00
Fractional positions:
1 V 0.333 0.667 0.250
2 V 0.667 0.333 0.750
3 Cu 0.000 0.000 0.000
4 Cu 0.000 0.000 0.500
5 As 0.333 0.667 0.750
6 As 0.667 0.333 0.250
7 O 0.006 0.364 0.635
8 O 0.006 0.643 0.865
9 O 0.357 0.364 0.865
10 O 0.357 0.994 0.635
11 O 0.364 0.006 0.135
12 O 0.364 0.357 0.365
13 O 0.636 0.643 0.635
14 O 0.636 0.994 0.865
15 O 0.643 0.006 0.365
16 O 0.643 0.636 0.135
17 O 0.994 0.357 0.135
18 O 0.994 0.636 0.365